Record 1
# Rb2OsSI6 (PBE, optimized geometry)
# Density = 4.7 g/cm³
# Total moment = 0.2871 μB/atom
# Energy = -2.97 eV per atom
# Formation energy from raw total energies = -0.31 eV/atom
data_Rb2OsSI6
_symmetry_space_group_name_H-M 'I 4/m m m'
_symmetry_Int_Tables_number 139
_symmetry_space_group_name_Hall '-I 4 2'
_cell_length_a 8.635
_cell_length_b 8.635
_cell_length_c 10.884
_cell_angle_alpha 90.00
_cell_angle_beta 90.00
_cell_angle_gamma 90.00
loop_
_atom_site_label
_atom_site_fract_x
_atom_site_fract_y
_atom_site_fract_z
_atom_site_occupancy
Rb1 0.000 0.500 0.250 1
Os1 0.000 0.000 0.000 1
S1 0.000 0.000 0.500 1
I1 0.000 0.000 0.254 1
I2 0.223 0.223 0.000 1

***

Record 2
# RbSbOsI2 (PBE, optimized geometry)
# Density = 3.3 g/cm³
# Total moment = 1.5201 μB/atom
# Energy = -2.13 eV per atom
# Formation energy from raw total energies = 1.75 eV/atom
# Polymorph energy (0 for the lowest one) = 816.4 kJ/mol of formula units
data_RbSbOsI2
_symmetry_space_group_name_H-M 'P 4/m m m'
_symmetry_Int_Tables_number 123
_symmetry_space_group_name_Hall '-P 4 2'
_cell_length_a 6.831
_cell_length_b 6.831
_cell_length_c 6.921
_cell_angle_alpha 90.00
_cell_angle_beta 90.00
_cell_angle_gamma 90.00
loop_
_atom_site_label
_atom_site_fract_x
_atom_site_fract_y
_atom_site_fract_z
_atom_site_occupancy
Rb1 0.000 0.000 0.000 1
Sb1 0.000 0.000 0.500 1
Os1 0.500 0.500 0.500 1
I1 0.000 0.500 0.000 1

***

Record 3
# RbSb2OsI (PBE, optimized geometry)
# Density = 4.4 g/cm³
# Total moment = 0.4868 μB/atom
# Energy = -2.12 eV per atom
# Formation energy from raw total energies = 2.28 eV/atom
# Polymorph energy (0 for the lowest one) = 1030.7 kJ/mol of formula units
data_RbSb2OsI
_symmetry_space_group_name_H-M 'P 4/m m m'
_symmetry_Int_Tables_number 123
_symmetry_space_group_name_Hall '-P 4 2'
_cell_length_a 6.253
_cell_length_b 6.253
_cell_length_c 6.275
_cell_angle_alpha 90.00
_cell_angle_beta 90.00
_cell_angle_gamma 90.00
loop_
_atom_site_label
_atom_site_fract_x
_atom_site_fract_y
_atom_site_fract_z
_atom_site_occupancy
Rb1 0.000 0.000 0.000 1
Sb1 0.000 0.500 0.000 1
Os1 0.500 0.500 0.500 1
I1 0.000 0.000 0.500 1

***

Record 4
# Rb2SbOsI6 (PBE, optimized geometry)
# Density = 5.1 g/cm³
# Total moment = 0.0836 μB/atom
# Energy = -3.03 eV per atom
# Formation energy from raw total energies = -0.37 eV/atom
data_Rb2SbOsI6
_symmetry_space_group_name_H-M 'I 4/m m m'
_symmetry_Int_Tables_number 139
_symmetry_space_group_name_Hall '-I 4 2'
_cell_length_a 8.277
_cell_length_b 8.277
_cell_length_c 11.824
_cell_angle_alpha 90.00
_cell_angle_beta 90.00
_cell_angle_gamma 90.00
loop_
_atom_site_label
_atom_site_fract_x
_atom_site_fract_y
_atom_site_fract_z
_atom_site_occupancy
Rb1 0.000 0.500 0.250 1
Sb1 0.000 0.000 0.000 1
Os1 0.000 0.000 0.500 1
I1 0.000 0.000 0.267 1
I2 0.235 0.235 0.500 1

***

Record 5
# RbSb2OsI (PBE, optimized geometry)
# Density = 6.4 g/cm³
# Total moment = 0.0000 μB/atom
# Energy = -4.25 eV per atom
# Formation energy from raw total energies = 0.14 eV/atom
# Polymorph energy (0 for the lowest one) = 0.0 kJ/mol of formula units
data_RbSb2OsI
_symmetry_space_group_name_H-M 'P 4/m m m'
_symmetry_Int_Tables_number 123
_symmetry_space_group_name_Hall '-P 4 2'
_cell_length_a 5.126
_cell_length_b 5.126
_cell_length_c 6.341
_cell_angle_alpha 90.00
_cell_angle_beta 90.00
_cell_angle_gamma 90.00
loop_
_atom_site_label
_atom_site_fract_x
_atom_site_fract_y
_atom_site_fract_z
_atom_site_occupancy
Rb1 0.000 0.000 0.000 1
Sb1 0.000 0.500 0.500 1
Os1 0.500 0.500 0.500 1
I1 0.500 0.500 0.000 1

***

Record 6
# RbSbOsI2 (PBE, optimized geometry)
# Density = 6.3 g/cm³
# Total moment = 0.0735 μB/atom
# Energy = -3.82 eV per atom
# Formation energy from raw total energies = 0.06 eV/atom
# Polymorph energy (0 for the lowest one) = 0.0 kJ/mol of formula units
data_RbSbOsI2
_symmetry_space_group_name_H-M 'P 4/m m m'
_symmetry_Int_Tables_number 123
_symmetry_space_group_name_Hall '-P 4 2'
_cell_length_a 5.872
_cell_length_b 5.872
_cell_length_c 5.014
_cell_angle_alpha 90.00
_cell_angle_beta 90.00
_cell_angle_gamma 90.00
loop_
_atom_site_label
_atom_site_fract_x
_atom_site_fract_y
_atom_site_fract_z
_atom_site_occupancy
Rb1 0.000 0.000 0.000 1
Sb1 0.500 0.500 0.000 1
Os1 0.500 0.500 0.500 1
I1 0.000 0.500 0.500 1

***

Record 7
# Rb2OsSeI (PBE, optimized geometry)
# Density = 3.8 g/cm³
# Total moment = 0.6758 μB/atom
# Energy = -2.84 eV per atom
# Formation energy from raw total energies = 0.80 eV/atom
data_Rb2OsSeI
_symmetry_space_group_name_H-M 'P 4/m m m'
_symmetry_Int_Tables_number 123
_symmetry_space_group_name_Hall '-P 4 2'
_cell_length_a 6.639
_cell_length_b 6.639
_cell_length_c 5.684
_cell_angle_alpha 90.00
_cell_angle_beta 90.00
_cell_angle_gamma 90.00
loop_
_atom_site_label
_atom_site_fract_x
_atom_site_fract_y
_atom_site_fract_z
_atom_site_occupancy
Rb1 0.000 0.500 0.000 1
Os1 0.000 0.000 0.500 1
Se1 0.500 0.500 0.000 1
I1 0.500 0.500 0.500 1

***

Record 8
# Rb2SiOsI (PBE, optimized geometry)
# Density = 3.4 g/cm³
# Total moment = 0.9985 μB/atom
# Energy = -2.81 eV per atom
# Formation energy from raw total energies = 1.22 eV/atom
data_Rb2SiOsI
_symmetry_space_group_name_H-M 'P 4/m m m'
_symmetry_Int_Tables_number 123
_symmetry_space_group_name_Hall '-P 4 2'
_cell_length_a 7.022
_cell_length_b 7.022
_cell_length_c 5.060
_cell_angle_alpha 90.00
_cell_angle_beta 90.00
_cell_angle_gamma 90.00
loop_
_atom_site_label
_atom_site_fract_x
_atom_site_fract_y
_atom_site_fract_z
_atom_site_occupancy
Rb1 0.000 0.500 0.000 1
Si1 0.000 0.000 0.500 1
Os1 0.500 0.500 0.500 1
I1 0.500 0.500 0.000 1

***

Record 9
# Rb2SiOsI6 (PBE, optimized geometry)
# Density = 5.2 g/cm³
# Total moment = 0.0000 μB/atom
# Energy = -3.12 eV per atom
# Formation energy from raw total energies = -0.33 eV/atom
data_Rb2SiOsI6
_symmetry_space_group_name_H-M 'F m -3 m'
_symmetry_Int_Tables_number 225
_symmetry_space_group_name_Hall '-F 4 2 3'
_cell_length_a 11.400
_cell_length_b 11.400
_cell_length_c 11.400
_cell_angle_alpha 90.00
_cell_angle_beta 90.00
_cell_angle_gamma 90.00
loop_
_atom_site_label
_atom_site_fract_x
_atom_site_fract_y
_atom_site_fract_z
_atom_site_occupancy
Rb1 0.250 0.250 0.250 1
Si1 0.000 0.000 0.000 1
Os1 0.000 0.000 0.500 1
I1 0.000 0.000 0.259 1

***

Record 10
# Rb2SrOsI6 (PBE, optimized geometry)
# Density = 4.8 g/cm³
# Total moment = 0.0000 μB/atom
# Energy = -3.25 eV per atom
# Formation energy from raw total energies = -0.83 eV/atom
data_Rb2SrOsI6
_symmetry_space_group_name_H-M 'F m -3 m'
_symmetry_Int_Tables_number 225
_symmetry_space_group_name_Hall '-F 4 2 3'
_cell_length_a 11.864
_cell_length_b 11.864
_cell_length_c 11.864
_cell_angle_alpha 90.00
_cell_angle_beta 90.00
_cell_angle_gamma 90.00
loop_
_atom_site_label
_atom_site_fract_x
_atom_site_fract_y
_atom_site_fract_z
_atom_site_occupancy
Rb1 0.250 0.250 0.250 1
Sr1 0.000 0.000 0.000 1
Os1 0.000 0.000 0.500 1
I1 0.000 0.000 0.271 1

***

Record 11
# Rb2TcOsI6 (PBE, optimized geometry)
# Density = 5.5 g/cm³
# Total moment = 0.5022 μB/atom
# Energy = -3.48 eV per atom
# Formation energy from raw total energies = -0.19 eV/atom
data_Rb2TcOsI6
_symmetry_space_group_name_H-M 'I 4/m m m'
_symmetry_Int_Tables_number 139
_symmetry_space_group_name_Hall '-I 4 2'
_cell_length_a 8.049
_cell_length_b 8.049
_cell_length_c 11.373
_cell_angle_alpha 90.00
_cell_angle_beta 90.00
_cell_angle_gamma 90.00
loop_
_atom_site_label
_atom_site_fract_x
_atom_site_fract_y
_atom_site_fract_z
_atom_site_occupancy
Rb1 0.000 0.500 0.250 1
Tc1 0.000 0.000 0.000 1
Os1 0.000 0.000 0.500 1
I1 0.000 0.000 0.258 1
I2 0.242 0.242 0.500 1

***

Record 12
# RbTeOsI2 (PBE, optimized geometry)
# Density = 6.3 g/cm³
# Total moment = 0.0000 μB/atom
# Energy = -3.72 eV per atom
# Formation energy from raw total energies = -0.03 eV/atom
# Polymorph energy (0 for the lowest one) = 0.0 kJ/mol of formula units
data_RbTeOsI2
_symmetry_space_group_name_H-M 'P 4/m m m'
_symmetry_Int_Tables_number 123
_symmetry_space_group_name_Hall '-P 4 2'
_cell_length_a 5.894
_cell_length_b 5.894
_cell_length_c 5.004
_cell_angle_alpha 90.00
_cell_angle_beta 90.00
_cell_angle_gamma 90.00
loop_
_atom_site_label
_atom_site_fract_x
_atom_site_fract_y
_atom_site_fract_z
_atom_site_occupancy
Rb1 0.000 0.000 0.000 1
Te1 0.500 0.500 0.000 1
Os1 0.500 0.500 0.500 1
I1 0.000 0.500 0.500 1